AlZn4Ga5: optimized geometry, PBE.

Unit cell a=4.485 b=5.454 c=7.941 alpha=75.74 beta=88.75 gamma=75.35
Space group P-1 (No. 2)
Asymmetric unit:
Al1 0.000 0.000 0.000 [1 per cell]
Zn1 0.425 0.608 0.202 [2 per cell]
Zn2 0.471 0.130 0.151 [2 per cell]
Ga1 0.000 0.500 0.000 [1 per cell]
Ga2 0.126 0.285 0.647 [2 per cell]
Ga3 0.314 0.806 0.538 [2 per cell]

## Properties
relative energy among the computed polymorphs = 0.00 kJ/mol of atoms
formation energy from the elements = 0.07 eV/atom
total energy = -2.331 eV/atom

---

LaRh4W: optimized geometry, PBE.

Unit cell a=7.454 b=7.454 c=7.454 alpha=90.00 beta=90.00 gamma=90.00
Space group F-43m (No. 216)
Asymmetric unit:
La1 0.000 0.000 0.000 [4 per cell]
Rh1 0.125 0.125 0.625 [16 per cell]
W1 0.250 0.250 0.250 [4 per cell]

## Properties
formation energy from the elements = 0.06 eV/atom
total energy = -7.820 eV/atom

---

FeAsPb: optimized geometry, PBE.

Unit cell a=4.1403 b=4.1403 c=4.3683 alpha=90.00 beta=90.00 gamma=120.00
Space group P-6m2 (No. 187)
Asymmetric unit:
Fe1 0.0000 0.0000 0.0000 [1 per cell]
As1 0.6667 0.3333 0.0000 [1 per cell]
Pb1 0.3333 0.6667 0.5000 [1 per cell]

## Properties
relative energy among the computed polymorphs = 15.73 kJ/mol of atoms
formation energy from the elements = 0.19 eV/atom
total energy = -5.420 eV/atom

---

NdInTe2: optimized geometry, PBE.

Unit cell a=4.5101 b=4.5101 c=24.9437 alpha=90.00 beta=90.00 gamma=120.00
Space group R3m (No. 160, hexagonal axes)
Asymmetric unit:
Nd1 0.0000 0.0000 0.0000 [3 per cell]
In1 0.0000 0.0000 0.8309 [3 per cell]
Te1 0.0000 0.0000 0.4077 [3 per cell]
Te2 0.0000 0.0000 0.5928 [3 per cell]

## Properties
energy relative to the elements, uncorrected = -0.966 eV/atom
total energy = -4.413 eV/atom

---

KCrCl2: optimized geometry, PBE.

Unit cell a=4.051 b=6.738 c=8.011 alpha=90.00 beta=90.00 gamma=90.00
Space group Immm (No. 71)
Asymmetric unit:
K1 0.000 0.000 0.000 [2 per cell]
Cr1 0.000 0.000 0.500 [2 per cell]
Cl1 0.000 0.500 0.203 [4 per cell]

## Properties
relative energy among the computed polymorphs = 8.67 kJ/mol of atoms
energy relative to the elements, uncorrected = -0.899 eV/atom
total energy = -4.502 eV/atom

---

VGePt: optimized geometry, PBE.

Unit cell a=4.2975 b=4.2975 c=2.8113 alpha=90.00 beta=90.00 gamma=120.00
Space group P-6m2 (No. 187)
Asymmetric unit:
V1 0.0000 0.0000 0.0000 [1 per cell]
Ge1 0.6667 0.3333 0.5000 [1 per cell]
Pt1 0.3333 0.6667 0.5000 [1 per cell]

## Properties
formation energy from the elements = -0.34 eV/atom
total energy = -6.936 eV/atom

---

PuHPb: optimized geometry, PBE.

Unit cell a=4.221 b=4.221 c=6.793 alpha=90.00 beta=90.00 gamma=90.00
Space group P4/nmm (No. 129, origin choice 2)
Asymmetric unit:
Pu1 0.250 0.250 0.124 [2 per cell]
H1 0.250 0.750 0.000 [2 per cell]
Pb1 0.250 0.250 0.610 [2 per cell]

## Properties
relative energy among the computed polymorphs = 0.00 kJ/mol of atoms
total energy = -7.352 eV/atom

---

BaIn6Hg8: optimized geometry, PBE.

Unit cell a=9.5642 b=9.5642 c=16.0718 alpha=90.00 beta=90.00 gamma=120.00
Space group R-3 (No. 148, hexagonal axes)
Asymmetric unit:
Ba1 0.0000 0.0000 0.0000 [3 per cell]
In1 0.0114 0.2033 0.6152 [18 per cell]
Hg1 0.0000 0.0000 0.2178 [6 per cell]
Hg2 0.0137 0.6468 0.5444 [18 per cell]

## Properties
formation energy from the elements = -0.08 eV/atom
total energy = -1.469 eV/atom

---

CaGa10Ir2: optimized geometry, PBE.

Unit cell a=9.377 b=10.074 c=9.430 alpha=90.00 beta=90.00 gamma=90.00
Space group Cmcm (No. 63)
Asymmetric unit:
Ca1 0.000 0.128 0.250 [4 per cell]
Ga1 0.000 0.155 0.612 [8 per cell]
Ga2 0.000 0.378 0.032 [8 per cell]
Ga3 0.156 0.367 0.750 [8 per cell]
Ga4 0.187 0.372 0.250 [8 per cell]
Ga5 0.198 0.000 0.000 [8 per cell]
Ir1 0.250 0.250 0.000 [8 per cell]

## Properties
formation energy from the elements = -0.34 eV/atom
total energy = -4.189 eV/atom

---

Y5InIr4: optimized geometry, PBE.

Unit cell a=3.506 b=3.506 c=17.534 alpha=90.00 beta=90.00 gamma=90.00
Space group P4/mmm (No. 123)
Asymmetric unit:
Y1 0.000 0.000 0.000 [1 per cell]
Y2 0.000 0.000 0.190 [2 per cell]
Y3 0.000 0.000 0.379 [2 per cell]
In1 0.500 0.500 0.500 [1 per cell]
Ir1 0.500 0.500 0.096 [2 per cell]
Ir2 0.500 0.500 0.289 [2 per cell]

## Properties
formation energy from the elements = -0.73 eV/atom
total energy = -7.776 eV/atom

---

Rb3Pu2MgO9: optimized geometry, PBE.

Unit cell a=5.9933 b=5.9933 c=7.3596 alpha=90.00 beta=90.00 gamma=120.00
Space group P-3m1 (No. 164)
Asymmetric unit:
Rb1 0.0000 0.0000 0.0000 [1 per cell]
Rb2 0.3333 0.6667 0.6595 [2 per cell]
Pu1 0.3333 0.6667 0.1718 [2 per cell]
Mg1 0.0000 0.0000 0.5000 [1 per cell]
O1 0.0000 0.5000 0.0000 [3 per cell]
O2 0.1744 0.3488 0.3244 [6 per cell]

## Properties
energy relative to the elements, uncorrected = -2.275 eV/atom
total energy = -7.460 eV/atom

---

Fe2Si2Te: optimized geometry, PBE.

Unit cell a=3.514 b=3.514 c=11.565 alpha=90.00 beta=90.00 gamma=90.00
Space group I4/mmm (No. 139)
Asymmetric unit:
Fe1 0.000 0.000 0.118 [4 per cell]
Si1 0.000 0.500 0.250 [4 per cell]
Te1 0.000 0.000 0.500 [2 per cell]

## Properties
energy relative to the elements, uncorrected = -0.076 eV/atom
total energy = -6.259 eV/atom

---

NaAl3Sn3: optimized geometry, PBE.

Unit cell a=7.698 b=7.698 c=7.698 alpha=90.00 beta=90.00 gamma=90.00
Space group Pm-3n (No. 223)
Asymmetric unit:
Na1 0.000 0.000 0.000 [2 per cell]
Al1 0.000 0.250 0.500 [6 per cell]
Sn1 0.000 0.500 0.250 [6 per cell]

## Properties
formation energy from the elements = 0.21 eV/atom
total energy = -3.296 eV/atom

---

Ho7Er2Tm2: optimized geometry, PBE.

Unit cell a=11.040 b=11.323 c=5.965 alpha=90.00 beta=113.22 gamma=90.00
Space group C2/m (No. 12)
Asymmetric unit:
Ho1 0.000 0.000 0.000 [2 per cell]
Ho2 0.175 0.236 0.176 [8 per cell]
Ho3 0.231 0.000 0.586 [4 per cell]
Er1 0.000 0.217 0.500 [4 per cell]
Tm1 0.088 0.500 0.802 [4 per cell]

## Properties
formation energy from the elements = 0.17 eV/atom
total energy = -4.388 eV/atom

---

LaMn2Tc2: optimized geometry, PBE.

Unit cell a=4.147 b=4.147 c=10.255 alpha=90.00 beta=90.00 gamma=90.00
Space group I4/mmm (No. 139)
Asymmetric unit:
La1 0.000 0.000 0.000 [2 per cell]
Mn1 0.000 0.500 0.250 [4 per cell]
Tc1 0.000 0.000 0.368 [4 per cell]

## Properties
formation energy from the elements = 0.17 eV/atom
total energy = -8.630 eV/atom

---

Sm8Dy4Sc: optimized geometry, PBE.

Unit cell a=11.0126 b=11.0126 c=13.4525 alpha=90.00 beta=90.00 gamma=120.00
Space group R-3m (No. 166, hexagonal axes)
Asymmetric unit:
Sm1 0.0000 0.0000 0.2430 [6 per cell]
Sm2 0.0086 0.5043 0.7474 [18 per cell]
Dy1 0.0000 0.0000 0.0000 [3 per cell]
Dy2 0.0000 0.5000 0.0000 [9 per cell]
Sc1 0.0000 0.0000 0.5000 [3 per cell]

## Properties
formation energy from the elements = 0.49 eV/atom
total energy = -4.318 eV/atom

---

Li3MgSn: optimized geometry, PBE.

Unit cell a=4.824 b=5.752 c=7.562 alpha=90.00 beta=108.63 gamma=90.00
Space group P2_1/m (No. 11)
Asymmetric unit:
Li1 0.029 0.250 0.061 [2 per cell]
Li2 0.197 0.001 0.393 [4 per cell]
Mg1 0.417 0.250 0.836 [2 per cell]
Sn1 0.369 0.750 0.737 [2 per cell]

## Properties
relative energy among the computed polymorphs = 0.00 kJ/mol of atoms
formation energy from the elements = -0.26 eV/atom
total energy = -2.527 eV/atom

---

TbEr3ThSc: optimized geometry, PBE.

Unit cell a=4.931 b=14.696 c=9.979 alpha=90.00 beta=90.00 gamma=90.00
Space group Cmcm (No. 63)
Asymmetric unit:
Tb1 0.000 0.000 0.000 [4 per cell]
Er1 0.000 0.168 0.250 [4 per cell]
Er2 0.000 0.334 0.000 [8 per cell]
Th1 0.000 0.497 0.250 [4 per cell]
Sc1 0.000 0.165 0.750 [4 per cell]

## Properties
formation energy from the elements = 0.05 eV/atom
total energy = -5.296 eV/atom

---

Tl2Hg3I: optimized geometry, PBE.

Unit cell a=4.368 b=8.521 c=11.649 alpha=104.07 beta=91.06 gamma=103.62
Space group P-1 (No. 2)
Asymmetric unit:
Tl1 0.007 0.004 0.167 [2 per cell]
Tl2 0.286 0.577 0.202 [2 per cell]
Hg1 0.102 0.200 0.615 [2 per cell]
Hg2 0.200 0.401 0.413 [2 per cell]
Hg3 0.439 0.890 0.602 [2 per cell]
I1 0.371 0.735 0.947 [2 per cell]

## Properties
energy relative to the elements, uncorrected = -0.173 eV/atom
total energy = -1.371 eV/atom

---

Ba2LaCd: optimized geometry, PBE.

Unit cell a=4.1576 b=4.1576 c=36.6815 alpha=90.00 beta=90.00 gamma=120.00
Space group R3m (No. 160, hexagonal axes)
Asymmetric unit:
Ba1 0.0000 0.0000 0.0000 [3 per cell]
Ba2 0.0000 0.0000 0.2277 [3 per cell]
La1 0.0000 0.0000 0.4691 [3 per cell]
Cd1 0.0000 0.0000 0.7386 [3 per cell]

## Properties
relative energy among the computed polymorphs = 12.11 kJ/mol of atoms
formation energy from the elements = 0.02 eV/atom
total energy = -2.400 eV/atom